1.
Density functional theory data (PBE) for a relaxed structure of Pm7CdPd4.

The structure belongs to space group C2/m (No. 12); the cell edges are 13.713, 5.712 and 9.904 Å and the angles 90.00°, 123.76° and 90.00°. The distinct sites, in fractional coordinates, are Pm at (0.000, 0.000, 0.000), Pm at (0.075, 0.500, 0.380), Pm at (0.184, 0.000, 0.635), Pm at (0.197, 0.500, 0.891), Cd at (0.000, 0.500, 0.000), Pd at (0.052, 0.000, 0.763) and Pd at (0.200, 0.000, 0.336).

The density of states at the Fermi level comes out at 1.12 states/eV/atom. Its volume is 645 Å³ per cell. The formation enthalpy at 0 K comes out at -4.6 eV/f.u. For the theoretical density, the calculation gives 7.999 g/cm³.

---

2.
Density functional theory data (PBE) for a relaxed structure of Pm2Cd6Pd3.

The structure belongs to space group P-62m (No. 189); the cell edges are 8.2580, 8.2580 and 4.3028 Å and the angles 90.00°, 90.00° and 120.00°. The distinct sites, in fractional coordinates, are Pm at (0.3333, 0.6667, 0.0000), Cd at (0.0000, 0.2042, 0.0000), Cd at (0.0000, 0.7215, 0.5000) and Pd at (0.0000, 0.4007, 0.5000).

The density of states at the Fermi level comes out at 0.54 states/eV/atom. Its volume is 254 Å³ per cell. The formation enthalpy at 0 K comes out at -4.0 eV/f.u. For the theoretical density, the calculation gives 8.389 g/cm³.

---

3.
Density functional theory data (PBE) for a relaxed structure of Pm2Cd5Pd4.

The structure belongs to space group Fmmm (No. 69); the cell edges are 5.667, 9.383 and 18.387 Å and the angles 90.00°, 90.00° and 90.00°. The distinct sites, in fractional coordinates, are Pm at (0.000, 0.000, 0.131), Cd at (0.000, 0.000, 0.500), Cd at (0.250, 0.250, 0.000), Cd at (0.250, 0.250, 0.250) and Pd at (0.000, 0.162, 0.372).

The density of states at the Fermi level comes out at 0.47 states/eV/atom. Its volume is 978 Å³ per cell. The formation enthalpy at 0 K comes out at -4.7 eV/f.u. For the theoretical density, the calculation gives 8.680 g/cm³.

---

4.
Density functional theory data (PBE) for a relaxed structure of Pm3Cd2Pd2.

The structure belongs to space group Cmmm (No. 65); the cell edges are 4.125, 22.782 and 3.782 Å and the angles 90.00°, 90.00° and 90.00°. The distinct sites, in fractional coordinates, are Pm at (0.000, 0.000, 0.000), Pm at (0.000, 0.170, 0.000), Cd at (0.000, 0.418, 0.500) and Pd at (0.000, 0.289, 0.500).

The density of states at the Fermi level comes out at 0.85 states/eV/atom. Its volume is 355 Å³ per cell. The formation enthalpy at 0 K comes out at -4.1 eV/f.u. For the theoretical density, the calculation gives 8.156 g/cm³.

---

5.
Density functional theory data (PBE) for a relaxed structure of PmCd3Pd2.

The structure belongs to space group Pmc2_1 (No. 26); the cell edges are 4.032, 8.812 and 7.278 Å and the angles 90.00°, 90.00° and 90.00°. The distinct sites, in fractional coordinates, are Pm at (0.000, 0.095, 0.000), Cd at (0.000, 0.314, 0.600), Cd at (0.500, 0.195, 0.332), Cd at (0.500, 0.422, 0.922), Pd at (0.000, 0.393, 0.216) and Pd at (0.500, 0.106, 0.708).

The density of states at the Fermi level comes out at 0.45 states/eV/atom. Its volume is 259 Å³ per cell. The relative energy among the computed polymorphs is 0 meV/atom. The formation enthalpy at 0 K comes out at -2.9 eV/f.u. For the theoretical density, the calculation gives 8.928 g/cm³.

---

6.
Density functional theory data (PBE) for a relaxed structure of Pm3Cd2Pd8.

The structure belongs to space group R-3m (No. 166, hexagonal axes); the cell edges are 5.4324, 5.4324 and 31.2376 Å and the angles 90.00°, 90.00° and 120.00°. The distinct sites, in fractional coordinates, are Pm at (0.0000, 0.0000, 0.0000), Pm at (0.0000, 0.0000, 0.1902), Cd at (0.0000, 0.0000, 0.3649), Pd at (0.0000, 0.0000, 0.2809) and Pd at (0.0035, 0.5018, 0.7693).

The density of states at the Fermi level comes out at 0.37 states/eV/atom. Its volume is 798 Å³ per cell. The formation enthalpy at 0 K comes out at -6.6 eV/f.u. For the theoretical density, the calculation gives 9.430 g/cm³.

---

Question: Among the records above, which one has the lowest formation enthalpy at 0 K?
Answer: Pm3Cd2Pd8

---

Question: What is the formula in the third record?
Answer: Pm2Cd5Pd4

---

Question: Which of these has the highest theoretical density?
Answer: Pm3Cd2Pd8